# 1
Sr2Al4Zn3Pb | GGA-PBE | optimized geometry

Geometry as CIF:
```
data_Sr2Al4Zn3Pb
_chemical_formula_sum 'Sr2 Al4 Zn3 Pb1'
_symmetry_space_group_name_H-M 'P -4 m 2'
_symmetry_Int_Tables_number 115
_cell_length_a 4.467
_cell_length_b 4.467
_cell_length_c 11.352
_cell_angle_alpha 90.00
_cell_angle_beta 90.00
_cell_angle_gamma 90.00
loop_
_symmetry_equiv_pos_as_xyz
'x,y,z'
'y,-x,-z'
'-x,-y,z'
'-y,x,-z'
'-x,y,z'
'-y,-x,-z'
'x,-y,z'
'y,x,-z'
loop_
_atom_site_label
_atom_site_type_symbol
_atom_site_fract_x
_atom_site_fract_y
_atom_site_fract_z
Sr1 Sr 0.000 0.500 0.239
Al1 Al 0.000 0.000 0.000
Al2 Al 0.000 0.500 0.650
Al3 Al 0.500 0.500 0.000
Zn1 Zn 0.000 0.500 0.873
Zn2 Zn 0.500 0.500 0.500
Pb1 Pb 0.000 0.000 0.500
```

Values from the calculation:
Formation enthalpy at 0 K in kJ per mole of atoms: -19.9
E in eV per atom: -2.792


# 2
SrZr2AlPb | GGA-PBE | optimized geometry

Geometry as CIF:
```
data_SrZr2AlPb
_chemical_formula_sum 'Sr1 Zr2 Al1 Pb1'
_symmetry_space_group_name_H-M 'P 4/m m m'
_symmetry_Int_Tables_number 123
_symmetry_space_group_name_Hall '-P 4 2'
_cell_length_a 5.567
_cell_length_b 5.567
_cell_length_c 5.325
_cell_angle_alpha 90.00
_cell_angle_beta 90.00
_cell_angle_gamma 90.00
loop_
_atom_site_label
_atom_site_type_symbol
_atom_site_fract_x
_atom_site_fract_y
_atom_site_fract_z
Sr1 Sr 0.000 0.000 0.000
Zr1 Zr 0.000 0.500 0.500
Al1 Al 0.500 0.500 0.000
Pb1 Pb 0.500 0.500 0.500
```

Values from the calculation:
Formation enthalpy at 0 K in kJ per mole of atoms: 79.5
E in eV per atom: -4.422


# 3
TaAl2Pb | GGA-PBE | optimized geometry

Geometry as CIF:
```
data_TaAl2Pb
_chemical_formula_sum 'Ta2 Al4 Pb2'
_symmetry_space_group_name_H-M 'I -4 m 2'
_symmetry_Int_Tables_number 119
_symmetry_space_group_name_Hall 'I -4 -2'
_cell_length_a 4.087
_cell_length_b 4.087
_cell_length_c 9.121
_cell_angle_alpha 90.00
_cell_angle_beta 90.00
_cell_angle_gamma 90.00
loop_
_atom_site_label
_atom_site_type_symbol
_atom_site_fract_x
_atom_site_fract_y
_atom_site_fract_z
Ta1 Ta 0.000 0.000 0.000
Al1 Al 0.000 0.000 0.500
Al2 Al 0.000 0.500 0.750
Pb1 Pb 0.000 0.500 0.250
```

Values from the calculation:
Formation enthalpy at 0 K in kJ per mole of atoms: 28.0
E in eV per atom: -5.471


# 4
TaAl2Pb | GGA-PBE | optimized geometry

Geometry as CIF:
```
data_TaAl2Pb
_chemical_formula_sum 'Ta2 Al4 Pb2'
_symmetry_space_group_name_H-M 'I m m 2'
_symmetry_Int_Tables_number 44
_cell_length_a 3.140
_cell_length_b 5.063
_cell_length_c 9.825
_cell_angle_alpha 90.00
_cell_angle_beta 90.00
_cell_angle_gamma 90.00
loop_
_symmetry_equiv_pos_as_xyz
'x,y,z'
'-x,-y,z'
'-x,y,z'
'x,-y,z'
'x+1/2,y+1/2,z+1/2'
'-x+1/2,-y+1/2,z+1/2'
'-x+1/2,y+1/2,z+1/2'
'x+1/2,-y+1/2,z+1/2'
loop_
_atom_site_label
_atom_site_type_symbol
_atom_site_fract_x
_atom_site_fract_y
_atom_site_fract_z
Ta1 Ta 0.000 0.000 0.000
Al1 Al 0.000 0.000 0.465
Al2 Al 0.000 0.500 0.733
Pb1 Pb 0.000 0.500 0.230
```

Values from the calculation:
Formation enthalpy at 0 K in kJ per mole of atoms: 28.8
E in eV per atom: -5.463


# 5
TaAl2Pb | GGA-PBE | optimized geometry

Geometry as CIF:
```
data_TaAl2Pb
_chemical_formula_sum 'Ta4 Al8 Pb4'
_symmetry_space_group_name_H-M 'F -4 3 m'
_symmetry_Int_Tables_number 216
_symmetry_space_group_name_Hall 'F -4 2 3'
_cell_length_a 6.876
_cell_length_b 6.876
_cell_length_c 6.876
_cell_angle_alpha 90.00
_cell_angle_beta 90.00
_cell_angle_gamma 90.00
loop_
_atom_site_label
_atom_site_type_symbol
_atom_site_fract_x
_atom_site_fract_y
_atom_site_fract_z
Ta1 Ta 0.000 0.000 0.000
Al1 Al 0.000 0.000 0.500
Al2 Al 0.250 0.250 0.750
Pb1 Pb 0.250 0.250 0.250
```

Values from the calculation:
Formation enthalpy at 0 K in kJ per mole of atoms: 65.7
E in eV per atom: -5.080


# 6
TaAl2Pb | GGA-PBE | optimized geometry

Geometry as CIF:
```
data_TaAl2Pb
_chemical_formula_sum 'Ta1 Al2 Pb1'
_symmetry_space_group_name_H-M 'P 4/m m m'
_symmetry_Int_Tables_number 123
_symmetry_space_group_name_Hall '-P 4 2'
_cell_length_a 4.452
_cell_length_b 4.452
_cell_length_c 3.846
_cell_angle_alpha 90.00
_cell_angle_beta 90.00
_cell_angle_gamma 90.00
loop_
_atom_site_label
_atom_site_type_symbol
_atom_site_fract_x
_atom_site_fract_y
_atom_site_fract_z
Ta1 Ta 0.000 0.000 0.000
Al1 Al 0.000 0.500 0.500
Pb1 Pb 0.500 0.500 0.000
```

Values from the calculation:
Formation enthalpy at 0 K in kJ per mole of atoms: 38.1
E in eV per atom: -5.367


no.,DOS(E_F) (states/eV per atom)
1,0.335
2,0.904
3,0.748
4,0.467
5,0.797
6,0.823